[1]
Dy2Ni5Ge3: optimized geometry, GGA-PBE.

**Offset from the most stable computed form**: 0 meV/atom
**Magnetization**: 0.00 μB/cell
**Total DFT energy (no corrections)**: -115.6 eV per cell
**Formation energy from the elements**: -5.9 eV per formula unit

Lattice parameters (Å, degrees): 11.9231 11.9231 6.7225 90.00 90.00 160.94
Element x y z (fractional)
1 Dy 0.0217 0.9783 0.5000
2 Dy 0.3421 0.6579 0.0378
3 Dy 0.6579 0.3421 0.5378
4 Dy 0.9783 0.0217 0.0000
5 Ni 0.1049 0.8951 0.8315
6 Ni 0.2117 0.7883 0.8267
7 Ni 0.2128 0.7872 0.1974
8 Ni 0.3522 0.6478 0.5066
9 Ni 0.4484 0.5516 0.6820
10 Ni 0.5516 0.4484 0.1820
11 Ni 0.6478 0.3522 0.0066
12 Ni 0.7872 0.2128 0.6974
13 Ni 0.7883 0.2117 0.3267
14 Ni 0.8951 0.1049 0.3315
15 Ge 0.1125 0.8875 0.2026
16 Ge 0.2542 0.7458 0.5126
17 Ge 0.4487 0.5513 0.3074
18 Ge 0.5513 0.4487 0.8074
19 Ge 0.7458 0.2542 0.0126
20 Ge 0.8875 0.1125 0.7026

***

[2]
Dy3NiGe3: optimized geometry, GGA-PBE.

**Magnetization**: 0.00 μB/cell
**Total DFT energy (no corrections)**: -78.6 eV per cell
**Formation energy from the elements**: -5.9 eV per formula unit

Lattice parameters (Å, degrees): 5.6842 5.6842 13.8575 108.66 108.66 43.74
Element x y z (fractional)
1 Dy 0.0316 0.0316 0.3823
2 Dy 0.0980 0.0980 0.9209
3 Dy 0.2460 0.2460 0.2292
4 Dy 0.7540 0.7540 0.7708
5 Dy 0.9020 0.9020 0.0791
6 Dy 0.9684 0.9684 0.6177
7 Ni 0.2543 0.2543 0.6018
8 Ni 0.7457 0.7457 0.3982
9 Ge 0.3572 0.3572 0.4561
10 Ge 0.3747 0.3747 0.9235
11 Ge 0.4588 0.4588 0.7619
12 Ge 0.5412 0.5412 0.2381
13 Ge 0.6253 0.6253 0.0765
14 Ge 0.6428 0.6428 0.5439

***

[3]
Dy3Ni3Ge: optimized geometry, GGA-PBE.

**Magnetization**: 0.00 μB/cell
**Total DFT energy (no corrections)**: -79.3 eV per cell
**Formation energy from the elements**: -3.9 eV per formula unit

Lattice parameters (Å, degrees): 5.5161 5.5161 13.9108 108.70 108.70 42.88
Element x y z (fractional)
1 Dy 0.0294 0.0294 0.3861
2 Dy 0.1063 0.1063 0.9240
3 Dy 0.2460 0.2460 0.2275
4 Dy 0.7540 0.7540 0.7725
5 Dy 0.8937 0.8937 0.0760
6 Dy 0.9706 0.9706 0.6139
7 Ni 0.3648 0.3648 0.4586
8 Ni 0.3949 0.3949 0.9242
9 Ni 0.4606 0.4606 0.7708
10 Ni 0.5394 0.5394 0.2292
11 Ni 0.6051 0.6051 0.0758
12 Ni 0.6352 0.6352 0.5414
13 Ge 0.2583 0.2583 0.6062
14 Ge 0.7417 0.7417 0.3938

***

[4]
DyNi5Ge3: optimized geometry, GGA-PBE.

**Magnetization**: 0.00 μB/cell
**Total DFT energy (no corrections)**: -103.2 eV per cell
**Formation energy from the elements**: -4.3 eV per formula unit

Lattice parameters (Å, degrees): 6.3338 6.3338 11.7403 90.00 90.00 145.77
Element x y z (fractional)
1 Dy 0.1562 0.8438 0.7500
2 Dy 0.8438 0.1562 0.2500
3 Ni 0.0000 0.0000 0.0000
4 Ni 0.0000 0.0000 0.5000
5 Ni 0.1942 0.8058 0.0661
6 Ni 0.1942 0.8058 0.4339
7 Ni 0.4487 0.5513 0.6442
8 Ni 0.4487 0.5513 0.8558
9 Ni 0.5513 0.4487 0.1442
10 Ni 0.5513 0.4487 0.3558
11 Ni 0.8058 0.1942 0.5661
12 Ni 0.8058 0.1942 0.9339
13 Ge 0.1150 0.8850 0.2500
14 Ge 0.3804 0.6196 0.0467
15 Ge 0.3804 0.6196 0.4533
16 Ge 0.6196 0.3804 0.5467
17 Ge 0.6196 0.3804 0.9533
18 Ge 0.8850 0.1150 0.7500